# ReSiBr | the Alexandria database | GGA-PBE | relaxed
data_ReSiBr
_cell_length_a 3.0679
_cell_length_b 3.0679
_cell_length_c 11.7081
_cell_angle_alpha 90.00
_cell_angle_beta 90.00
_cell_angle_gamma 90.00
_symmetry_space_group_name_H-M 'I 4 m m'
_symmetry_Int_Tables_number 107
_symmetry_space_group_name_Hall 'I 4 -2'
loop_
_atom_site_label
_atom_site_fract_x
_atom_site_fract_y
_atom_site_fract_z
_atom_site_occupancy
Re1 0.0000 0.0000 0.0000 1
Si1 0.0000 0.0000 0.3914 1
Br1 0.0000 0.0000 0.6586 1
# calculated total energy = -0.4273 Ry/atom
# raw formation energy = 700.6 meV per atom
# E above lowest polymorph = 0.3199 eV per atom

# ZnRe2As | the Alexandria database | GGA-PBE | relaxed
data_ZnRe2As
_cell_length_a 8.5940
_cell_length_b 2.8995
_cell_length_c 4.8599
_cell_angle_alpha 90.00
_cell_angle_beta 98.77
_cell_angle_gamma 90.00
_symmetry_space_group_name_H-M 'C 1 2/m 1'
_symmetry_Int_Tables_number 12
_symmetry_space_group_name_Hall '-C 2y'
loop_
_atom_site_label
_atom_site_fract_x
_atom_site_fract_y
_atom_site_fract_z
_atom_site_occupancy
Zn1 0.0000 0.0000 0.0000 1
Re1 0.2481 0.5000 0.2526 1
As1 0.0000 0.5000 0.5000 1
# calculated total energy = -0.5369 Ry/atom
# E above lowest polymorph = 0.2558 eV per atom
# energy of formation from the pure elements = 399 meV/atom